No. 1
DFT (PBE) results for a relaxed structure of V6Ge3Pt.

The volume is 596.9 Å³/cell. For the energy of formation, the calculation gives -1.5 eV per formula unit.

The structure belongs to space group Cmc2_1 (No. 36); the cell edges are 8.194, 12.063 and 6.039 Å and the angles 90.00°, 90.00° and 90.00°. Symmetry generates all atoms from V at (0.000, 0.049, 0.000), V at (0.000, 0.273, 0.209), V at (0.183, 0.439, 0.187), V at (0.225, 0.205, 0.969), Ge at (0.000, 0.405, 0.548), Ge at (0.182, 0.108, 0.332) and Pt at (0.000, 0.186, 0.658).

No. 2
DFT (PBE) results for a relaxed structure of V2GePt.

The volume is 56.5 Å³/cell. For the energy of formation, the calculation gives -1.4 eV per formula unit.

The structure belongs to space group P4/mmm (No. 123); the cell edges are 2.756, 2.756 and 7.444 Å and the angles 90.00°, 90.00° and 90.00°. Symmetry generates all atoms from V at (0.000, 0.000, 0.243), Ge at (0.500, 0.500, 0.000) and Pt at (0.500, 0.500, 0.500).